## ZrTl2Br (GGA-PBE)

Data for a relaxed structure of ZrTl2Br.

Structure (POSCAR):
```
ZrTl2Br
1.0
3.4375 0.0000 0.0000
0.0000 5.8251 0.0000
-0.3225 0.0000 5.4199
Zr Tl Br
1 2 1
direct
0.0000 0.0000 0.0000 Zr
0.2945 0.5000 0.2393 Tl
0.7055 0.5000 0.7607 Tl
0.0000 0.0000 0.5000 Br
```

Computed properties:
Electronic total energy   -3.754 eV per atom
Formation energy without anion corrections   -0.02 eV/atom
ΔE to the lowest computed polymorph   1.53 eV/f.u.



## Na6ZnSn2 (GGA-PBE)

Data for a relaxed structure of Na6ZnSn2.

Structure (POSCAR):
```
Na6ZnSn2
1.0
2.7495 1.5874 9.9334
-2.7495 1.5874 9.9334
0.0000 -3.1748 9.9334
Na Zn Sn
6 1 2
direct
0.0767 0.0767 0.0767 Na
0.2001 0.2001 0.2001 Na
0.3067 0.3067 0.3067 Na
0.6933 0.6933 0.6933 Na
0.7999 0.7999 0.7999 Na
0.9233 0.9233 0.9233 Na
0.5000 0.5000 0.5000 Zn
0.4130 0.4130 0.4130 Sn
0.5870 0.5870 0.5870 Sn
```

Computed properties:
Electronic total energy   -2.058 eV per atom
ΔE to the lowest computed polymorph   0.14 eV/f.u.



## Pm7Nd2Ho (GGA-PBE)

Data for a relaxed structure of Pm7Nd2Ho.

Structure (POSCAR):
```
Pm7Nd2Ho
1.0
3.3631 -14.6987 0.0000
3.3631 14.6987 0.0000
0.0000 0.0000 3.4930
Pm Nd Ho
7 2 1
direct
0.0000 0.0000 0.0000 Pm
0.1579 0.3540 0.0000 Pm
0.3118 0.6882 0.5000 Pm
0.3540 0.1579 0.0000 Pm
0.6460 0.8421 0.0000 Pm
0.6882 0.3118 0.5000 Pm
0.8421 0.6460 0.0000 Pm
0.2045 0.7955 0.0000 Nd
0.7955 0.2045 0.0000 Nd
0.5000 0.5000 0.5000 Ho
```

Computed properties:
Electronic total energy   -4.587 eV per atom



## Er6CuAu5 (GGA-PBE)

Data for a relaxed structure of Er6CuAu5.

Structure (POSCAR):
```
Er6CuAu5
1.0
2.5223 -7.5753 0.0000
2.5223 7.5753 0.0000
0.0000 0.0000 7.0515
Er Cu Au
6 1 5
direct
0.0000 0.0000 0.2483 Er
0.0000 0.0000 0.7517 Er
0.3346 0.6654 0.2477 Er
0.3346 0.6654 0.7523 Er
0.6654 0.3346 0.2477 Er
0.6654 0.3346 0.7523 Er
0.5000 0.5000 0.0000 Cu
0.1611 0.8389 0.0000 Au
0.1691 0.8309 0.5000 Au
0.5000 0.5000 0.5000 Au
0.8309 0.1691 0.5000 Au
0.8389 0.1611 0.0000 Au
```

Computed properties:
Electronic total energy   -4.772 eV per atom



## Ca2InW (GGA-PBE)

Data for a relaxed structure of Ca2InW.

Structure (POSCAR):
```
Ca2InW
1.0
11.8388 0.0000 0.0000
0.0000 3.0838 0.0000
-1.5413 0.0000 5.5013
Ca In W
4 2 2
direct
0.0000 0.0000 0.0000 Ca
0.1963 0.0000 0.6239 Ca
0.5000 0.5000 0.0000 Ca
0.6963 0.5000 0.6239 Ca
0.2583 0.5000 0.1638 In
0.7583 0.0000 0.1638 In
0.4428 0.0000 0.4695 W
0.9428 0.5000 0.4695 W
```

Computed properties:
Electronic total energy   -4.438 eV per atom



## ScReC2 (GGA-PBE)

Data for a relaxed structure of ScReC2.

Structure (POSCAR):
```
ScReC2
1.0
5.5113 0.0000 0.0000
0.0000 5.5113 0.0000
0.0000 0.0000 5.5113
Sc Re C
4 4 8
direct
0.0000 0.0000 0.0000 Sc
0.0000 0.5000 0.5000 Sc
0.5000 0.0000 0.5000 Sc
0.5000 0.5000 0.0000 Sc
0.0000 0.0000 0.5000 Re
0.0000 0.5000 0.0000 Re
0.5000 0.0000 0.0000 Re
0.5000 0.5000 0.5000 Re
0.2500 0.2500 0.2500 C
0.2500 0.2500 0.7500 C
0.2500 0.7500 0.2500 C
0.2500 0.7500 0.7500 C
0.7500 0.2500 0.2500 C
0.7500 0.2500 0.7500 C
0.7500 0.7500 0.2500 C
0.7500 0.7500 0.7500 C
```

Computed properties:
Electronic total energy   -8.680 eV per atom
ΔE to the lowest computed polymorph   3.15 eV/f.u.



## LaPr2NdDy2 (GGA-PBE)

Data for a relaxed structure of LaPr2NdDy2.

Structure (POSCAR):
```
LaPr2NdDy2
1.0
7.1407 0.0000 0.0000
0.0000 10.0356 0.0000
0.0000 0.0000 5.7994
La Pr Nd Dy
2 4 2 4
direct
0.0000 0.0000 0.0000 La
0.5000 0.5000 0.5000 La
0.2489 0.3330 0.0000 Pr
0.2511 0.8330 0.5000 Pr
0.7489 0.1670 0.5000 Pr
0.7511 0.6670 0.0000 Pr
0.0000 0.5000 0.5000 Nd
0.5000 0.0000 0.0000 Nd
0.2503 0.1666 0.5000 Dy
0.2497 0.6666 0.0000 Dy
0.7503 0.3334 0.0000 Dy
0.7497 0.8334 0.5000 Dy
```

Computed properties:
Electronic total energy   -4.684 eV per atom



## NdDy3 (GGA-PBE)

Data for a relaxed structure of NdDy3.

Structure (POSCAR):
```
NdDy3
1.0
3.6486 0.0000 0.0000
0.0000 5.7094 0.0000
0.0000 0.0000 6.3048
Nd Dy
1 3
direct
0.0000 0.0000 0.0000 Nd
0.0000 0.5000 0.3359 Dy
0.5000 0.0000 0.5019 Dy
0.5000 0.5000 0.8341 Dy
```

Computed properties:
Electronic total energy   -4.622 eV per atom
ΔE to the lowest computed polymorph   0.03 eV/f.u.